No. 1
# PBE Nd2GaNi4P3, relaxed
data_Nd2GaNi4P3
_chemical_formula_sum 'Nd2 Ga1 Ni4 P3'
_cell_length_a 4.000
_cell_length_b 4.000
_cell_length_c 9.602
_cell_angle_alpha 90.00
_cell_angle_beta 90.00
_cell_angle_gamma 90.00
_space_group_name_H-M_alt 'P -4 m 2'
_space_group_IT_number 115
loop_
_space_group_symop_operation_xyz
'x,y,z'
'y,-x,-z'
'-x,-y,z'
'-y,x,-z'
'-x,y,z'
'-y,-x,-z'
'x,-y,z'
'y,x,-z'
loop_
_atom_site_label
_atom_site_type_symbol
_atom_site_fract_x
_atom_site_fract_y
_atom_site_fract_z
_atom_site_occupancy
Nd1 Nd 0.000 0.500 0.244 1
Ga1 Ga 0.000 0.000 0.500 1
Ni1 Ni 0.000 0.000 0.000 1
Ni2 Ni 0.000 0.500 0.632 1
Ni3 Ni 0.500 0.500 0.000 1
P1 P 0.000 0.500 0.871 1
P2 P 0.500 0.500 0.500 1
# Total energy (eV for the cell shown): -61.067
# DOS(E_F) (states/eV/f.u.): 4.93

No. 2
# PBE Sr2CuHRh, relaxed
data_Sr2CuHRh
_chemical_formula_sum 'Sr2 Cu1 H1 Rh1'
_cell_length_a 5.177
_cell_length_b 5.177
_cell_length_c 3.744
_cell_angle_alpha 90.00
_cell_angle_beta 90.00
_cell_angle_gamma 90.00
_space_group_name_H-M_alt 'P 4/m m m'
_space_group_IT_number 123
_space_group_name_Hall '-P 4 2'
loop_
_atom_site_label
_atom_site_type_symbol
_atom_site_fract_x
_atom_site_fract_y
_atom_site_fract_z
_atom_site_occupancy
Sr1 Sr 0.000 0.500 0.000 1
Cu1 Cu 0.000 0.000 0.500 1
H1 H 0.000 0.000 0.000 1
Rh1 Rh 0.500 0.500 0.500 1
# Total energy (eV for the cell shown): -18.748
# DOS(E_F) (states/eV/f.u.): 2.59

What did the second record say?
# PBE Sr2CuHRh, relaxed
data_Sr2CuHRh
_chemical_formula_sum 'Sr2 Cu1 H1 Rh1'
_cell_length_a 5.177
_cell_length_b 5.177
_cell_length_c 3.744
_cell_angle_alpha 90.00
_cell_angle_beta 90.00
_cell_angle_gamma 90.00
_space_group_name_H-M_alt 'P 4/m m m'
_space_group_IT_number 123
_space_group_name_Hall '-P 4 2'
loop_
_atom_site_label
_atom_site_type_symbol
_atom_site_fract_x
_atom_site_fract_y
_atom_site_fract_z
_atom_site_occupancy
Sr1 Sr 0.000 0.500 0.000 1
Cu1 Cu 0.000 0.000 0.500 1
H1 H 0.000 0.000 0.000 1
Rh1 Rh 0.500 0.500 0.500 1
# Total energy (eV for the cell shown): -18.748
# DOS(E_F) (states/eV/f.u.): 2.59

Q: What is the formula in the second record?
A: Sr2CuHRh